Entry 1:
# K2ZrZn, optimized geometry, DFT PBE
data_K2ZrZn
_cell_length_a 5.701
_cell_length_b 5.701
_cell_length_c 8.078
_cell_angle_alpha 90.00
_cell_angle_beta 90.00
_cell_angle_gamma 90.00
_space_group_name_H-M_alt 'I -4 m 2'
_space_group_IT_number 119
_space_group_name_Hall 'I -4 -2'
loop_
_atom_site_label
_atom_site_type_symbol
_atom_site_fract_x
_atom_site_fract_y
_atom_site_fract_z
K1 K 0.000 0.000 0.000
K2 K 0.000 0.500 0.250
Zr1 Zr 0.000 0.000 0.500
Zn1 Zn 0.000 0.500 0.750
# **Energy relative to the elements**: 0.916 eV per atom
# **ρ**: 2.97 Mg/m³
# **Total magnetic moment**: 6.376 μB per cell

---

Entry 2:
# K2Zr, optimized geometry, DFT PBE
data_K2Zr
_cell_length_a 3.4740
_cell_length_b 3.4740
_cell_length_c 10.9531
_cell_angle_alpha 90.00
_cell_angle_beta 90.00
_cell_angle_gamma 120.00
_space_group_name_H-M_alt 'P -3 m 1'
_space_group_IT_number 164
_space_group_name_Hall '-P 3 2"'
loop_
_atom_site_label
_atom_site_type_symbol
_atom_site_fract_x
_atom_site_fract_y
_atom_site_fract_z
K1 K 0.3333 0.6667 0.3045
Zr1 Zr 0.0000 0.0000 0.0000
# **Energy relative to the elements**: 0.807 eV per atom
# **ρ**: 2.46 Mg/m³
# **Offset from the most stable computed form**: 350 meV per atom
# **Total magnetic moment**: 0.620 μB per cell

---

Entry 3:
# KZr, optimized geometry, DFT PBE
data_KZr
_cell_length_a 4.9913
_cell_length_b 4.9913
_cell_length_c 17.1513
_cell_angle_alpha 90.00
_cell_angle_beta 90.00
_cell_angle_gamma 120.00
_space_group_name_H-M_alt 'P 63/m m c'
_space_group_IT_number 194
_space_group_name_Hall '-P 6c 2c'
loop_
_atom_site_label
_atom_site_type_symbol
_atom_site_fract_x
_atom_site_fract_y
_atom_site_fract_z
K1 K 0.3333 0.6667 0.0943
Zr1 Zr 0.0000 0.0000 0.2500
Zr2 Zr 0.3333 0.6667 0.7500
# **Energy relative to the elements**: 1.117 eV per atom
# **ρ**: 2.34 Mg/m³
# **Offset from the most stable computed form**: 676 meV per atom
# **Total magnetic moment**: 9.373 μB per cell

---

Entry 4:
# KZr, optimized geometry, DFT PBE
data_KZr
_cell_length_a 10.091
_cell_length_b 3.311
_cell_length_c 15.429
_cell_angle_alpha 90.00
_cell_angle_beta 106.52
_cell_angle_gamma 90.00
_space_group_name_H-M_alt 'C 1 m 1'
_space_group_IT_number 8
loop_
_space_group_symop_operation_xyz
'x,y,z'
'x,-y,z'
'x+1/2,y+1/2,z'
'x+1/2,-y+1/2,z'
loop_
_atom_site_label
_atom_site_type_symbol
_atom_site_fract_x
_atom_site_fract_y
_atom_site_fract_z
K1 K 0.000 0.000 0.000
K2 K 0.141 0.500 0.759
K3 K 0.282 0.000 0.519
Zr1 Zr 0.141 0.500 0.259
Zr2 Zr 0.333 0.000 0.177
Zr3 Zr 0.449 0.500 0.342
# **Energy relative to the elements**: 0.462 eV per atom
# **ρ**: 2.63 Mg/m³
# **Offset from the most stable computed form**: 21 meV per atom
# **Total magnetic moment**: 0.000 μB per cell

---

Entry 5:
# KZr3, optimized geometry, DFT PBE
data_KZr3
_cell_length_a 5.920
_cell_length_b 5.920
_cell_length_c 5.920
_cell_angle_alpha 90.00
_cell_angle_beta 90.00
_cell_angle_gamma 90.00
_space_group_name_H-M_alt 'P m -3 n'
_space_group_IT_number 223
_space_group_name_Hall '-P 4n 2 3'
loop_
_atom_site_label
_atom_site_type_symbol
_atom_site_fract_x
_atom_site_fract_y
_atom_site_fract_z
K1 K 0.000 0.000 0.000
Zr1 Zr 0.000 0.250 0.500
# **Energy relative to the elements**: 1.028 eV per atom
# **ρ**: 5.01 Mg/m³
# **Total magnetic moment**: 0.001 μB per cell

---

Entry 6:
# KZr2, optimized geometry, DFT PBE
data_KZr2
_cell_length_a 4.619
_cell_length_b 4.619
_cell_length_c 19.008
_cell_angle_alpha 90.00
_cell_angle_beta 90.00
_cell_angle_gamma 90.00
_space_group_name_H-M_alt 'I 41/a m d'
_space_group_IT_number 141
loop_
_space_group_symop_operation_xyz
'x,y,z'
'-x,-y,-z'
'-y+1/4,x+3/4,z+1/4'
'y+1/4,-x+3/4,-z+1/4'
'-x+1/2,-y,z+1/2'
'x+1/2,y,-z+1/2'
'y+1/4,-x+1/4,z+3/4'
'-y+1/4,x+1/4,-z+3/4'
'x,-y,-z'
'-x,y,z'
'-y+1/4,-x+1/4,-z+3/4'
'y+1/4,x+1/4,z+3/4'
'-x+1/2,y,-z+1/2'
'x+1/2,-y,z+1/2'
'y+1/4,x+3/4,-z+1/4'
'-y+1/4,-x+3/4,z+1/4'
'x+1/2,y+1/2,z+1/2'
'-x+1/2,-y+1/2,-z+1/2'
'-y+3/4,x+1/4,z+3/4'
'y+3/4,-x+1/4,-z+3/4'
'-x,-y+1/2,z'
'x,y+1/2,-z'
'y+3/4,-x+3/4,z+1/4'
'-y+3/4,x+3/4,-z+1/4'
'x+1/2,-y+1/2,-z+1/2'
'-x+1/2,y+1/2,z+1/2'
'-y+3/4,-x+3/4,-z+1/4'
'y+3/4,x+3/4,z+1/4'
'-x,y+1/2,-z'
'x,-y+1/2,z'
'y+3/4,x+1/4,-z+3/4'
'-y+3/4,-x+1/4,z+3/4'
loop_
_atom_site_label
_atom_site_type_symbol
_atom_site_fract_x
_atom_site_fract_y
_atom_site_fract_z
K1 K 0.000 0.250 0.375
Zr1 Zr 0.000 0.250 0.783
# **Energy relative to the elements**: 1.449 eV per atom
# **ρ**: 3.63 Mg/m³
# **Offset from the most stable computed form**: 1049 meV per atom
# **Total magnetic moment**: 0.002 μB per cell